The following is a DFT calculation (PBE-GGA) of a geometry-optimized PrTaN3 structure.

abc: 4.0951 4.0951 4.0951
angles: 90.00 90.00 90.00
Closest atoms and distances in Å follow each position.
Sites, in units of the cell vectors:
Pr1 0.0000 0.0000 0.0000  12 N 2.90
Ta1 0.5000 0.5000 0.5000  6 N 2.05
N1 0.0000 0.5000 0.5000  2 Ta 2.05
N2 0.5000 0.0000 0.5000  2 Ta 2.05
N3 0.5000 0.5000 0.0000  2 Ta 2.05

Output
The space group is Pm-3m, No. 221.

The following is a DFT calculation (PBE-GGA) of a geometry-optimized Pr2TaN3 structure.

abc: 6.2928 6.2928 12.4363
angles: 91.86 91.86 127.07
Closest atoms and distances in Å follow each position.
Sites, in units of the cell vectors:
Pr1 0.0212 0.4192 0.3585  5 N 2.54-2.79
Pr2 0.1112 0.3404 0.9224  4 N 2.47-2.74
Pr3 0.3404 0.1112 0.4224  4 N 2.47-2.74
Pr4 0.4192 0.0212 0.8585  5 N 2.54-2.79
Pr5 0.5808 0.9788 0.1415  5 N 2.54-2.79
Pr6 0.6596 0.8888 0.5776  4 N 2.47-2.74
Pr7 0.8888 0.6596 0.0776  4 N 2.47-2.74
Pr8 0.9788 0.5808 0.6415  5 N 2.54-2.79
Ta1 0.2917 0.2975 0.1703  4 N 1.98-2.16
Ta2 0.2975 0.2917 0.6703  4 N 1.98-2.16
Ta3 0.7025 0.7083 0.3297  4 N 1.98-2.16
Ta4 0.7083 0.7025 0.8297  4 N 1.98-2.16
N1 0.0069 0.9931 0.7500  2 Ta 1.99
N2 0.1319 0.3299 0.5416  1 Ta 1.98
N3 0.1333 0.4751 0.1177  1 Ta 2.00
N4 0.3299 0.1319 0.0416  1 Ta 1.98
N5 0.3616 0.6384 0.7500  2 Ta 2.16
N6 0.4751 0.1333 0.6177  1 Ta 2.00
N7 0.5249 0.8667 0.3823  1 Ta 2.00
N8 0.6384 0.3616 0.2500  2 Ta 2.16
N9 0.6701 0.8681 0.9584  1 Ta 1.98
N10 0.8667 0.5249 0.8823  1 Ta 2.00
N11 0.8681 0.6701 0.4584  1 Ta 1.98
N12 0.9931 0.0069 0.2500  2 Ta 1.99

Output
The space group is C2/c, No. 15.

The following is a DFT calculation (PBE-GGA) of a geometry-optimized PrTa3N6 structure.

abc: 8.6614 3.2030 9.0599
angles: 90.00 107.32 90.00
Closest atoms and distances in Å follow each position.
Sites, in units of the cell vectors:
Pr1 0.0776 0.2500 0.2014  7 N 2.49-2.62
Pr2 0.9224 0.7500 0.7986  7 N 2.49-2.62
Ta1 0.1645 0.2500 0.5861  6 N 2.02-2.23
Ta2 0.3250 0.7500 0.9963  7 N 2.12-2.36
Ta3 0.4931 0.2500 0.3288  5 N 2.04-2.19
Ta4 0.5069 0.7500 0.6712  5 N 2.04-2.19
Ta5 0.6750 0.2500 0.0037  7 N 2.12-2.36
Ta6 0.8355 0.7500 0.4139  6 N 2.02-2.23
N1 0.0733 0.7500 0.4112  3 Ta 2.07-2.23
N2 0.1535 0.2500 0.9545  2 Ta 2.14
N3 0.2427 0.7500 0.7233  2 Ta 2.02
N4 0.3196 0.7500 0.2354  3 Ta 2.18-2.19
N5 0.3837 0.2500 0.5302  4 Ta 2.11-2.29
N6 0.4805 0.2500 0.1003  4 Ta 2.04-2.12
N7 0.5195 0.7500 0.8997  4 Ta 2.04-2.12
N8 0.6163 0.7500 0.4698  4 Ta 2.11-2.29
N9 0.6804 0.2500 0.7646  3 Ta 2.18-2.19
N10 0.7573 0.2500 0.2767  2 Ta 2.02
N11 0.8465 0.7500 0.0455  2 Ta 2.14
N12 0.9267 0.2500 0.5888  3 Ta 2.07-2.23

Output
The space group is P2_1/m, No. 11.

The following is a DFT calculation (PBE-GGA) of a geometry-optimized Pr2TaN4 structure.

abc: 6.1354 6.1848 6.9522
angles: 90.00 108.38 90.00
Closest atoms and distances in Å follow each position.
Sites, in units of the cell vectors:
Pr1 0.1651 0.2500 0.0213  4 N 2.42-2.56
Pr2 0.2498 0.2500 0.5519  4 N 2.44-2.62
Pr3 0.7502 0.7500 0.4481  4 N 2.44-2.62
Pr4 0.8349 0.7500 0.9787  4 N 2.42-2.56
Ta1 0.2830 0.7500 0.8106  4 N 1.94-1.96
Ta2 0.7170 0.2500 0.1894  4 N 1.94-1.96
N1 0.0610 0.5124 0.7491  1 Ta 1.96
N2 0.0610 0.9876 0.7491  1 Ta 1.96
N3 0.4772 0.7500 0.0929  1 Ta 1.95
N4 0.4987 0.2500 0.3390  1 Ta 1.94
N5 0.5013 0.7500 0.6610  1 Ta 1.94
N6 0.5228 0.2500 0.9071  1 Ta 1.95
N7 0.9390 0.0124 0.2509  1 Ta 1.96
N8 0.9390 0.4876 0.2509  1 Ta 1.96

Output
The space group is P2_1/m, No. 11.

Results for energy relative to the elements, uncorrected: -0.958 -1.249 -1.079 -0.923 (in eV per atom, following the order of the records).
Results for magnetization: 0.01 0.00 0.00 1.80 (in μB per cell, following the order of the records).